(1)
PBE-GGA Dy12SnPd6, relaxed; DFT total energy = -5.29 eV/atom; symmetry = No. 148; magnetic moment = 0.00 μB per atom; distance to the lowest polymorph of the same formula = 121 meV per atom; formation energy = -0.532 eV/atom
1.0
7.0713 4.0826 2.9842
-7.0713 4.0826 2.9842
0.0000 -8.1652 2.9842
Dy Sn Pd
12 1 6
direct
0.0567 0.3523 0.1175
0.1175 0.0567 0.3523
0.1743 0.4677 0.6414
0.3523 0.1175 0.0567
0.3586 0.8257 0.5323
0.4677 0.6414 0.1743
0.5323 0.3586 0.8257
0.6414 0.1743 0.4677
0.6477 0.8825 0.9433
0.8257 0.5323 0.3586
0.8825 0.9433 0.6477
0.9433 0.6477 0.8825
0.5000 0.5000 0.5000
0.1489 0.7910 0.7199
0.2090 0.2801 0.8511
0.2801 0.8511 0.2090
0.7199 0.1489 0.7910
0.7910 0.7199 0.1489
0.8511 0.2090 0.2801

=====

(2)
PBE-GGA RbBiBr5, relaxed; DFT total energy = -2.70 eV/atom; energy relative to the elements, uncorrected = -816 meV/atom; symmetry = No. 15; magnetic moment = 0.00 μB per atom
1.0
7.3000 -4.8360 0.0000
7.3000 4.8360 0.0000
-6.5933 0.0000 8.9997
Rb Bi Br
2 2 10
direct
0.0442 0.9558 0.7500
0.9558 0.0442 0.2500
0.5000 0.5000 0.0000
0.5000 0.5000 0.5000
0.1578 0.7202 0.9920
0.1969 0.3500 0.2977
0.2798 0.8422 0.5080
0.3500 0.1969 0.7977
0.4132 0.5868 0.7500
0.5868 0.4132 0.2500
0.6500 0.8031 0.2023
0.7202 0.1578 0.4920
0.8031 0.6500 0.7023
0.8422 0.2798 0.0080

=====

(3)
PBE-GGA Sr2AgBi4Au3, relaxed; DFT total energy = -3.58 eV/atom; symmetry = No. 115; magnetic moment = 0.00 μB per atom; formation energy = -0.418 eV/atom
1.0
4.8210 0.0000 0.0000
0.0000 4.8210 0.0000
0.0000 0.0000 12.4372
Sr Ag Bi Au
2 1 4 3
direct
0.0000 0.5000 0.2415
0.5000 0.0000 0.7585
0.5000 0.5000 0.0000
0.0000 0.0000 0.5000
0.0000 0.5000 0.8672
0.5000 0.0000 0.1328
0.5000 0.5000 0.5000
0.0000 0.0000 0.0000
0.0000 0.5000 0.6449
0.5000 0.0000 0.3551

=====

(4)
PBE-GGA KHg2Pt, relaxed; DFT total energy = -1.96 eV/atom; symmetry = No. 10; magnetic moment = 0.00 μB per atom; distance to the lowest polymorph of the same formula = 146 meV per atom; formation energy = -0.026 eV/atom
1.0
3.1119 0.0000 0.0000
0.0000 4.7642 0.0000
-1.3918 0.0000 6.6210
K Hg Pt
1 2 1
direct
0.0000 0.0000 0.0000
0.3498 0.5000 0.7091
0.6502 0.5000 0.2909
0.5000 0.0000 0.5000

=====

(5)
PBE-GGA Be2AlHg, relaxed; DFT total energy = -2.36 eV/atom; symmetry = No. 71; magnetic moment = 0.00 μB per atom; formation energy = 0.515 eV/atom
1.0
-1.3448 2.8457 4.1418
1.3448 -2.8457 4.1418
1.3448 2.8457 -4.1418
Be Al Hg
2 1 1
direct
0.2433 0.2433 0.0000
0.7567 0.7567 0.0000
0.0000 0.5000 0.5000
0.5000 0.0000 0.5000

=====

(6)
PBE-GGA UPaNbMo, relaxed; DFT total energy = -10.25 eV/atom; symmetry = No. 216; magnetic moment = 0.00 μB per atom; formation energy = 0.170 eV/atom
1.0
0.0000 3.4079 3.4079
3.4079 0.0000 3.4079
3.4079 3.4079 0.0000
U Pa Nb Mo
1 1 1 1
direct
0.0000 0.0000 0.0000
0.2500 0.2500 0.2500
0.7500 0.7500 0.7500
0.5000 0.5000 0.5000

=====

(7)
PBE-GGA Sr2ReSbH, relaxed; DFT total energy = -3.79 eV/atom; symmetry = No. 123; magnetic moment = 0.34 μB per atom
1.0
6.3209 0.0000 0.0000
0.0000 6.3209 0.0000
0.0000 0.0000 4.9462
Sr Re Sb H
2 1 1 1
direct
0.0000 0.5000 0.0000
0.5000 0.0000 0.0000
0.0000 0.0000 0.5000
0.0000 0.0000 0.0000
0.5000 0.5000 0.5000

=====

(8)
PBE-GGA BeC, relaxed; DFT total energy = -6.07 eV/atom; symmetry = No. 44; magnetic moment = 0.00 μB per atom; distance to the lowest polymorph of the same formula = 82 meV per atom; formation energy = 0.402 eV/atom
1.0
-1.3989 2.7698 2.9376
1.3989 -2.7698 2.9376
1.3989 2.7698 -2.9376
Be C
3 3
direct
0.0000 0.0000 0.0000
0.0852 0.7826 0.3025
0.4801 0.7826 0.6975
0.2320 0.4808 0.7511
0.4179 0.4179 0.0000
0.7297 0.4808 0.2489

=====

(9)
PBE-GGA PrThIrAu, relaxed; DFT total energy = -6.86 eV/atom; symmetry = No. 160; magnetic moment = 0.00 μB per atom; distance to the lowest polymorph of the same formula = 0 meV per atom; formation energy = -0.772 eV/atom
1.0
2.0906 1.2070 7.2584
-2.0906 1.2070 7.2584
0.0000 -2.4140 7.2584
Pr Th Ir Au
1 1 1 1
direct
0.0000 0.0000 0.0000
0.1875 0.1875 0.1875
0.5893 0.5893 0.5893
0.7615 0.7615 0.7615

=====

(10)
PBE-GGA LaBiOF2, relaxed; DFT total energy = -5.14 eV/atom; energy relative to the elements, uncorrected = -1637 meV/atom; symmetry = No. 123; magnetic moment = 0.16 μB per atom; distance to the lowest polymorph of the same formula = 680 meV per atom
1.0
4.7225 0.0000 0.0000
0.0000 4.7225 0.0000
0.0000 0.0000 4.5572
La Bi O F
1 1 1 2
direct
0.0000 0.0000 0.0000
0.5000 0.5000 0.5000
0.5000 0.5000 0.0000
0.0000 0.5000 0.5000
0.5000 0.0000 0.5000

=====

(11)
PBE-GGA Mn3AlGa, relaxed; DFT total energy = -6.09 eV/atom; symmetry = No. 221; magnetic moment = 2.02 μB per atom; formation energy = 0.767 eV/atom
1.0
4.5305 0.0000 0.0000
0.0000 4.5305 0.0000
0.0000 0.0000 4.5305
Mn Al Ga
3 1 1
direct
0.0000 0.0000 0.5000
0.0000 0.5000 0.0000
0.5000 0.0000 0.0000
0.5000 0.5000 0.5000
0.0000 0.0000 0.0000

=====

(12)
PBE-GGA ZnHgB2, relaxed; DFT total energy = -2.81 eV/atom; symmetry = No. 141; magnetic moment = 0.00 μB per atom; distance to the lowest polymorph of the same formula = 0 meV per atom; formation energy = 0.927 eV/atom
1.0
-1.8076 1.8076 8.7023
1.8076 -1.8076 8.7023
1.8076 1.8076 -8.7023
Zn Hg B
2 2 4
direct
0.3750 0.6250 0.7500
0.6250 0.3750 0.2500
0.1250 0.8750 0.2500
0.8750 0.1250 0.7500
0.0000 0.5000 0.5000
0.5000 0.0000 0.0000
0.5000 0.5000 0.0000
0.5000 0.5000 0.5000